Record 1
{"formula": "AcPrIn6", "functional": "PBE", "state": "relaxed", "cell": [[-0.0015, -3.3107, -3.5227], [0.9919, -3.4480, 3.2400], [-9.4559, -1.4425, 1.3597]], "species": ["Ac", "In", "Pr", "In", "In", "In", "In", "In"], "fractional_positions": [[0.0000, 0.0000, 0.0000], [0.5000, 0.0000, 0.7419], [0.0000, 0.0000, 0.5000], [0.0000, 0.5000, 0.2581], [0.5000, 0.0000, 0.2581], [0.5000, 0.5000, 0.0000], [0.5000, 0.5000, 0.5000], [0.0000, 0.5000, 0.7419]], "spacegroup": "No. 123", "e_form_ev_per_atom": -0.433, "rho_g_cm3": 7.772, "n_ef_per_ev_cell": 4.5, "total_magnetization_mub_per_fu": 0.00, "final_energy_ev_per_atom": -3.5974}

=====

Record 2
{"formula": "AcPr2In9", "functional": "PBE", "state": "relaxed", "cell": [[4.8014, 0.0000, 0.0000], [0.0000, 4.8014, 0.0000], [0.0000, 0.0000, 14.4114]], "species": ["In", "In", "In", "In", "Ac", "Pr", "In", "In", "In", "In", "In", "Pr"], "fractional_positions": [[0.0000, 0.5000, 0.8260], [0.5000, 0.5000, 0.3353], [0.5000, 0.0000, 0.1740], [0.0000, 0.5000, 0.1740], [0.0000, 0.0000, 0.0000], [0.0000, 0.0000, 0.3388], [0.5000, 0.5000, 0.6647], [0.5000, 0.0000, 0.5000], [0.5000, 0.0000, 0.8260], [0.0000, 0.5000, 0.5000], [0.5000, 0.5000, 0.0000], [0.0000, 0.0000, 0.6612]], "spacegroup": "No. 123", "e_form_ev_per_atom": -0.446, "rho_g_cm3": 7.708, "n_ef_per_ev_cell": 6.6, "total_magnetization_mub_per_fu": 0.00, "final_energy_ev_per_atom": -3.6387}

=====

Record 3
{"formula": "AcPr5In4", "functional": "PBE", "state": "relaxed", "cell": [[3.7140, 0.0000, 0.0000], [0.0000, 3.7140, 0.0000], [0.0000, 0.0000, 22.9054]], "species": ["Pr", "In", "Pr", "In", "In", "In", "Ac", "Pr", "Pr", "Pr"], "fractional_positions": [[0.5000, 0.5000, 0.1226], [0.0000, 0.0000, 0.4050], [0.5000, 0.5000, 0.6891], [0.0000, 0.0000, 0.7851], [0.0000, 0.0000, 0.2149], [0.0000, 0.0000, 0.5950], [0.0000, 0.0000, 0.0000], [0.5000, 0.5000, 0.8774], [0.5000, 0.5000, 0.5000], [0.5000, 0.5000, 0.3109]], "spacegroup": "No. 123", "e_form_ev_per_atom": -0.384, "rho_g_cm3": 7.310, "n_ef_per_ev_cell": 7.2, "total_magnetization_mub_per_fu": 0.00, "final_energy_ev_per_atom": -4.2802}

=====

Record 4
{"formula": "AcPrPuIn", "functional": "PBE", "state": "relaxed", "cell": [[-2.5072, 4.7635, -1.7695], [-3.8514, -0.1991, -4.1515], [-5.4685, 0.9236, 1.1619]], "species": ["Ac", "In", "Pr", "Pu"], "fractional_positions": [[0.0000, 0.0000, 0.0000], [0.5000, 0.5000, 0.5000], [0.7500, 0.7500, 0.7500], [0.2500, 0.2500, 0.2500]], "spacegroup": "No. 216", "e_form_ev_per_atom": 0.064, "rho_g_cm3": 9.380, "n_ef_per_ev_cell": 14.3, "total_magnetization_mub_per_fu": 6.86, "final_energy_ev_per_atom": -6.4256}

=====

Record 5
{"formula": "AcPrInRh", "functional": "PBE", "state": "relaxed", "cell": [[5.4236, 0.0000, 0.0000], [2.7118, 4.6970, 0.0000], [2.7118, 1.5657, 4.4284]], "species": ["Pr", "Rh", "In", "Ac"], "fractional_positions": [[0.7500, 0.7500, 0.7500], [0.0000, 0.0000, 0.0000], [0.5000, 0.5000, 0.5000], [0.2500, 0.2500, 0.2500]], "spacegroup": "No. 216", "e_form_ev_per_atom": -0.365, "rho_g_cm3": 8.620, "n_ef_per_ev_cell": 3.2, "total_magnetization_mub_per_fu": 0.00, "final_energy_ev_per_atom": -5.1095}

=====

Record 6
{"formula": "AcPrInRu", "functional": "PBE", "state": "relaxed", "cell": [[-1.6565, 3.0675, -4.1138], [-5.2699, 0.5515, -1.0009], [-2.4490, 4.7069, 0.9618]], "species": ["Pr", "In", "Ac", "Ru"], "fractional_positions": [[0.2500, 0.2500, 0.2500], [0.0000, 0.0000, 0.0000], [0.7500, 0.7500, 0.7500], [0.5000, 0.5000, 0.5000]], "spacegroup": "No. 216", "e_form_ev_per_atom": -0.099, "rho_g_cm3": 8.744, "n_ef_per_ev_cell": 2.9, "total_magnetization_mub_per_fu": 0.00, "final_energy_ev_per_atom": -5.3247}

=====

Record 7
{"formula": "AcPrScIn", "functional": "PBE", "state": "relaxed", "cell": [[5.6490, 0.0000, 0.0000], [2.8245, 4.8921, 0.0000], [2.8245, 1.6307, 4.6123]], "species": ["Ac", "Sc", "Pr", "In"], "fractional_positions": [[0.2500, 0.2500, 0.2500], [0.0000, 0.0000, 0.0000], [0.7500, 0.7500, 0.7500], [0.5000, 0.5000, 0.5000]], "spacegroup": "No. 216", "e_form_ev_per_atom": -0.114, "rho_g_cm3": 6.874, "n_ef_per_ev_cell": 4.7, "total_magnetization_mub_per_fu": 1.24, "final_energy_ev_per_atom": -4.6039}

=====

Record 8
{"formula": "AcPrSmIn", "functional": "PBE", "state": "relaxed", "cell": [[5.7151, 0.0000, 0.0000], [2.8576, 4.9494, 0.0000], [2.8576, 1.6498, 4.6664]], "species": ["In", "Ac", "Sm", "Pr"], "fractional_positions": [[0.2500, 0.2500, 0.2500], [0.7500, 0.7500, 0.7500], [0.5000, 0.5000, 0.5000], [0.0000, 0.0000, 0.0000]], "spacegroup": "No. 216", "e_form_ev_per_atom": -0.086, "rho_g_cm3": 7.964, "n_ef_per_ev_cell": 7.6, "total_magnetization_mub_per_fu": 0.01, "final_energy_ev_per_atom": -4.1727}

=====

Record 9
{"formula": "Ac3Pr3In2Sn", "functional": "PBE", "state": "relaxed", "cell": [[4.4245, 0.0000, 0.0000], [0.0000, 9.1377, 0.0000], [0.0000, -4.5688, 7.9134]], "species": ["Ac", "Pr", "In", "Pr", "Sn", "In", "Ac", "Ac", "Pr"], "fractional_positions": [[0.5000, 0.0000, 0.7238], [0.0000, 0.0000, 0.3950], [0.5000, 0.6667, 0.3333], [0.0000, 0.6050, 0.6050], [0.0000, 0.0000, 0.0000], [0.5000, 0.3333, 0.6667], [0.5000, 0.2762, 0.2762], [0.5000, 0.7238, 0.0000], [0.0000, 0.3950, 0.0000]], "spacegroup": "No. 189", "e_form_ev_per_atom": -0.334, "rho_g_cm3": 7.537, "n_ef_per_ev_cell": 10.8, "total_magnetization_mub_per_fu": 0.00, "final_energy_ev_per_atom": -4.3495}

=====

Record 10
{"formula": "SrAcPrIn", "functional": "PBE", "state": "relaxed", "cell": [[5.9143, 0.0000, 0.0000], [2.9572, 5.1219, 0.0000], [2.9572, 1.7073, 4.8290]], "species": ["In", "Pr", "Ac", "Sr"], "fractional_positions": [[0.7500, 0.7500, 0.7500], [0.5000, 0.5000, 0.5000], [0.2500, 0.2500, 0.2500], [0.0000, 0.0000, 0.0000]], "spacegroup": "No. 216", "e_form_ev_per_atom": 0.003, "rho_g_cm3": 6.474, "n_ef_per_ev_cell": 5.8, "total_magnetization_mub_per_fu": 0.02, "final_energy_ev_per_atom": -3.3238}

=====

Record 11
{"formula": "Ac2PrIn3Te6", "functional": "PBE", "state": "relaxed", "cell": [[-2.1623, 7.8404, 0.5710], [-5.4952, -5.8543, 1.4156], [4.5819, -0.6715, 7.1923]], "species": ["Pr", "Te", "Te", "In", "Te", "Ac", "Te", "Te", "Ac", "In", "Te", "In"], "fractional_positions": [[0.0000, 0.0000, 0.0000], [0.2457, 0.2457, 0.7670], [0.9232, 0.5998, 0.7695], [0.5000, 0.5000, 0.5000], [0.4002, 0.0768, 0.2305], [0.3335, 0.6665, 0.0000], [0.7543, 0.7543, 0.2330], [0.5998, 0.9232, 0.7695], [0.6665, 0.3335, 0.0000], [0.1677, 0.8323, 0.5000], [0.0768, 0.4002, 0.2305], [0.8323, 0.1677, 0.5000]], "spacegroup": "No. 12", "formation_energy_uncorrected_kj_per_mol_atoms": -99.4, "rho_g_cm3": 6.061, "total_magnetization_mub_per_fu": 0.00, "final_energy_ev_per_atom": -4.3691}

=====

Record 12
{"formula": "Ac3Pr3Tl2In", "functional": "PBE", "state": "relaxed", "cell": [[3.9964, 0.0000, 0.0000], [0.0000, 9.5922, 0.0000], [0.0000, -4.7961, 8.3070]], "species": ["Ac", "Ac", "Ac", "Tl", "Tl", "In", "Pr", "Pr", "Pr"], "fractional_positions": [[0.5000, 0.2841, 0.2841], [0.5000, 0.7159, 0.0000], [0.5000, 0.0000, 0.7159], [0.5000, 0.6667, 0.3333], [0.5000, 0.3333, 0.6667], [0.0000, 0.0000, 0.0000], [0.0000, 0.6117, 0.6117], [0.0000, 0.0000, 0.3883], [0.0000, 0.3883, 0.0000]], "spacegroup": "No. 189", "e_form_ev_per_atom": -0.236, "rho_g_cm3": 8.486, "n_ef_per_ev_cell": 8.1, "total_magnetization_mub_per_fu": 0.00, "final_energy_ev_per_atom": -4.0283}

=====

Record 13
{"formula": "AcPrTlIn", "functional": "PBE", "state": "relaxed", "cell": [[5.6989, 0.0000, 0.0000], [2.8495, 4.9354, 0.0000], [2.8495, 1.6451, 4.6531]], "species": ["Tl", "Ac", "Pr", "In"], "fractional_positions": [[0.0000, 0.0000, 0.0000], [0.7500, 0.7500, 0.7500], [0.2500, 0.2500, 0.2500], [0.5000, 0.5000, 0.5000]], "spacegroup": "No. 216", "polymorph_energy_ev_per_atom": 0.017, "e_form_ev_per_atom": -0.396, "rho_g_cm3": 8.718, "n_ef_per_ev_cell": 3.2, "total_magnetization_mub_per_fu": 0.00, "final_energy_ev_per_atom": -3.8940}

=====

Record 14
{"formula": "AcPrTlIn", "functional": "PBE", "state": "relaxed", "cell": [[-2.9162, -0.4315, -2.7334], [2.6937, -1.3522, -2.6604], [-1.2658, -7.5117, 2.5363]], "species": ["Ac", "In", "Pr", "Tl"], "fractional_positions": [[0.5000, 0.5000, 0.1103], [0.0000, 0.0000, 0.3741], [0.5000, 0.5000, 0.6046], [0.0000, 0.0000, 0.8389]], "spacegroup": "No. 99", "polymorph_energy_ev_per_atom": 0.000, "e_form_ev_per_atom": -0.412, "rho_g_cm3": 8.793, "n_ef_per_ev_cell": 3.2, "total_magnetization_mub_per_fu": 0.00, "final_energy_ev_per_atom": -3.9106}

=====

Record 15
{"formula": "AcPrTmIn", "functional": "PBE", "state": "relaxed", "cell": [[-1.8294, 2.7288, -4.6046], [-5.3802, -0.5440, -1.6591], [-3.5754, 4.3516, 0.5251]], "species": ["In", "Tm", "Ac", "Pr"], "fractional_positions": [[0.2500, 0.2500, 0.2500], [0.5000, 0.5000, 0.5000], [0.7500, 0.7500, 0.7500], [0.0000, 0.0000, 0.0000]], "spacegroup": "No. 216", "e_form_ev_per_atom": -0.045, "rho_g_cm3": 8.456, "n_ef_per_ev_cell": 7.2, "total_magnetization_mub_per_fu": 0.00, "final_energy_ev_per_atom": -4.0696}

=====

Record 16
{"formula": "AcPrYIn", "functional": "PBE", "state": "relaxed", "cell": [[5.7481, 0.0000, 0.0000], [2.8741, 4.9780, 0.0000], [2.8741, 1.6593, 4.6933]], "species": ["In", "Pr", "Y", "Ac"], "fractional_positions": [[0.7500, 0.7500, 0.7500], [0.5000, 0.5000, 0.5000], [0.2500, 0.2500, 0.2500], [0.0000, 0.0000, 0.0000]], "spacegroup": "No. 216", "e_form_ev_per_atom": -0.102, "rho_g_cm3": 7.068, "n_ef_per_ev_cell": 6.2, "total_magnetization_mub_per_fu": 0.92, "final_energy_ev_per_atom": -4.6242}

=====

Record 17
{"formula": "AcPrZnIn", "functional": "PBE", "state": "relaxed", "cell": [[-3.3492, 1.7088, 0.9399], [0.5031, -1.0476, 3.6973], [3.8674, 6.8085, 1.4029]], "species": ["Pr", "In", "Zn", "Ac"], "fractional_positions": [[0.0000, 0.0000, 0.3759], [0.5000, 0.5000, 0.1273], [0.5000, 0.5000, 0.5844], [0.0000, 0.0000, 0.8404]], "spacegroup": "No. 99", "polymorph_energy_ev_per_atom": 0.000, "e_form_ev_per_atom": -0.356, "rho_g_cm3": 7.617, "n_ef_per_ev_cell": 3.8, "total_magnetization_mub_per_fu": 0.00, "final_energy_ev_per_atom": -3.5812}

=====

Record 18
{"formula": "AcPrZn2In2", "functional": "PBE", "state": "relaxed", "cell": [[4.8098, 0.0000, 0.0000], [-2.4049, 4.1654, 0.0000], [0.0000, 0.0000, 8.0419]], "species": ["Zn", "Ac", "In", "Zn", "Pr", "In"], "fractional_positions": [[0.3333, 0.6667, 0.7067], [0.0000, 0.0000, 0.0000], [0.6667, 0.3333, 0.7270], [0.6667, 0.3333, 0.2933], [0.0000, 0.0000, 0.5000], [0.3333, 0.6667, 0.2730]], "spacegroup": "No. 164", "e_form_ev_per_atom": -0.436, "rho_g_cm3": 7.507, "n_ef_per_ev_cell": 3.3, "total_magnetization_mub_per_fu": 0.00, "final_energy_ev_per_atom": -3.2553}

=====

Record 19
{"formula": "AcPr2Zn2In2", "functional": "PBE", "state": "relaxed", "cell": [[4.8222, 0.0000, 0.0000], [2.4111, 4.1761, 0.0000], [2.4111, 1.3920, 9.9198]], "species": ["Zn", "In", "Zn", "Ac", "Pr", "Pr", "In"], "fractional_positions": [[0.4140, 0.4140, 0.7580], [0.2597, 0.2597, 0.2209], [0.5860, 0.5860, 0.2420], [0.0000, 0.0000, 0.0000], [0.1311, 0.1311, 0.6066], [0.8689, 0.8689, 0.3934], [0.7403, 0.7403, 0.7791]], "spacegroup": "No. 166", "e_form_ev_per_atom": -0.304, "rho_g_cm3": 7.226, "n_ef_per_ev_cell": 4.2, "total_magnetization_mub_per_fu": 0.00, "final_energy_ev_per_atom": -3.4027}

=====

Record 20
{"formula": "AcPrZnIn", "functional": "PBE", "state": "relaxed", "cell": [[5.5610, 0.0000, 0.0000], [2.7805, 4.8160, 0.0000], [2.7805, 1.6053, 4.5405]], "species": ["Zn", "Pr", "Ac", "In"], "fractional_positions": [[0.0000, 0.0000, 0.0000], [0.7500, 0.7500, 0.7500], [0.2500, 0.2500, 0.2500], [0.5000, 0.5000, 0.5000]], "spacegroup": "No. 216", "polymorph_energy_ev_per_atom": 0.024, "e_form_ev_per_atom": -0.332, "rho_g_cm3": 7.485, "n_ef_per_ev_cell": 4.9, "total_magnetization_mub_per_fu": 0.00, "final_energy_ev_per_atom": -3.5575}